(1)
DFT (GGA-PBE) results for Ga8NiPt2 after structural relaxation.

Cell lengths 4.9921, 6.4512, 6.5125 Å; angles 82.28, 82.51, 70.41 degrees
With the nearest neighbours (Å) after each atom.
Fractional coordinates of all 11 atoms:
1 Ga 0.0528 0.0965 0.1870  1 Ni 2.33, 1 Pt 2.49
2 Ga 0.2220 0.6483 0.4106  2 Pt 2.54-2.59, 1 Ga 2.64
3 Ga 0.2778 0.4240 0.9547  1 Ni 2.58, 2 Pt 2.59-2.66, 4 Ga 2.63-2.88
4 Ga 0.3205 0.1495 0.6503  1 Ni 2.51, 2 Pt 2.59-2.60, 2 Ga 2.64-2.77
5 Ga 0.6795 0.8505 0.3497  1 Ni 2.51, 2 Pt 2.59-2.60, 2 Ga 2.64-2.77
6 Ga 0.7222 0.5760 0.0453  1 Ni 2.58, 2 Pt 2.59-2.66, 4 Ga 2.63-2.88
7 Ga 0.7780 0.3517 0.5894  2 Pt 2.54-2.59, 1 Ga 2.64
8 Ga 0.9472 0.9035 0.8130  1 Ni 2.33, 1 Pt 2.49
9 Ni 0.5000 0.0000 0.0000  6 Ga 2.33-2.58
10 Pt 0.4625 0.7220 0.7099  7 Ga 2.49-2.66
11 Pt 0.5375 0.2779 0.2901  7 Ga 2.49-2.66

**Calculated volume**: 195.0 Å³/cell
**Symmetry**: P-1, No. 2

---

(2)
DFT (GGA-PBE) results for CdP2Ru after structural relaxation.

Cell lengths 5.0510, 5.0510, 5.0510 Å; angles 135.53, 135.53, 64.70 degrees
With the nearest neighbours (Å) after each atom.
Fractional coordinates of all 4 atoms:
1 Cd 0.0000 0.0000 0.0000  8 P 2.70-2.86, 4 Ru 2.86
2 P 0.2500 0.7500 0.5000  4 Ru 2.70, 4 P 2.86, 4 Cd 2.86
3 P 0.5000 0.5000 0.0000  4 Cd 2.70, 4 Ru 2.86, 4 P 2.86
4 Ru 0.7500 0.2500 0.5000  8 P 2.70-2.86, 4 Cd 2.86

**Calculated volume**: 62.3 Å³/cell
**Symmetry**: I-4m2, No. 119

---

(3)
DFT (GGA-PBE) results for FeCuPt2 after structural relaxation.

Cell lengths 3.9694, 3.9694, 3.5706 Å; angles 90.00, 90.00, 90.00 degrees
With the nearest neighbours (Å) after each atom.
Fractional coordinates of all 4 atoms:
1 Fe 0.0000 0.0000 0.0000  8 Pt 2.67, 4 Cu 2.81
2 Cu 0.5000 0.5000 0.0000  8 Pt 2.67, 4 Fe 2.81
3 Pt 0.0000 0.5000 0.5000  4 Fe 2.67, 4 Cu 2.67, 4 Pt 2.81
4 Pt 0.5000 0.0000 0.5000  4 Fe 2.67, 4 Cu 2.67, 4 Pt 2.81

**Calculated volume**: 56.3 Å³/cell
**Symmetry**: P4/mmm, No. 123

---

(4)
DFT (GGA-PBE) results for MnP4 after structural relaxation.

Cell lengths 5.8827, 5.8827, 11.0797 Å; angles 91.26, 91.26, 128.39 degrees
With the nearest neighbours (Å) after each atom.
Fractional coordinates of all 20 atoms:
1 Mn 0.0000 0.5000 0.5000  6 P 2.24-2.37
2 Mn 0.0955 0.9045 0.7500  6 P 2.25-2.30
3 Mn 0.5000 0.0000 0.0000  6 P 2.24-2.37
4 Mn 0.9045 0.0955 0.2500  6 P 2.25-2.30
5 P 0.0453 0.8605 0.9550  2 P 2.21-2.24, 2 Mn 2.30
6 P 0.0536 0.5534 0.2892  2 P 2.23-2.25, 2 Mn 2.28-2.37
7 P 0.1395 0.9547 0.5450  2 P 2.21-2.24, 2 Mn 2.30
8 P 0.2434 0.3585 0.7836  3 P 2.21-2.25, 1 Mn 2.25
9 P 0.3413 0.5435 0.9749  3 P 2.21-2.28, 1 Mn 2.24
10 P 0.3585 0.2434 0.2836  3 P 2.21-2.25, 1 Mn 2.25
11 P 0.4466 0.9464 0.2108  2 P 2.23-2.25, 2 Mn 2.28-2.37
12 P 0.4565 0.6587 0.5251  3 P 2.21-2.28, 1 Mn 2.24
13 P 0.5435 0.3413 0.4749  3 P 2.21-2.28, 1 Mn 2.24
14 P 0.5534 0.0536 0.7892  2 P 2.23-2.25, 2 Mn 2.28-2.37
15 P 0.6415 0.7566 0.7164  3 P 2.21-2.25, 1 Mn 2.25
16 P 0.6587 0.4565 0.0251  3 P 2.21-2.28, 1 Mn 2.24
17 P 0.7566 0.6415 0.2164  3 P 2.21-2.25, 1 Mn 2.25
18 P 0.8605 0.0453 0.4550  2 P 2.21-2.24, 2 Mn 2.30
19 P 0.9464 0.4466 0.7108  2 P 2.23-2.25, 2 Mn 2.28-2.37
20 P 0.9547 0.1395 0.0450  2 P 2.21-2.24, 2 Mn 2.30

**Calculated volume**: 300.1 Å³/cell
**Symmetry**: C2/c, No. 15

---

(5)
DFT (GGA-PBE) results for Y2CrPt after structural relaxation.

Cell lengths 5.8605, 5.8605, 5.8605 Å; angles 138.30, 138.30, 60.44 degrees
With the nearest neighbours (Å) after each atom.
Fractional coordinates of all 4 atoms:
1 Y 0.0000 0.0000 0.0000  4 Pt 2.95, 4 Cr 3.28, 4 Y 3.28
2 Y 0.7500 0.2500 0.5000  4 Cr 2.95, 4 Pt 3.28, 4 Y 3.28
3 Cr 0.2500 0.7500 0.5000  8 Y 2.95-3.28, 4 Pt 3.28
4 Pt 0.5000 0.5000 0.0000  8 Y 2.95-3.28, 4 Cr 3.28

**Calculated volume**: 88.1 Å³/cell
**ΔE to the lowest computed polymorph**: 176 meV/atom
**Symmetry**: I-4m2, No. 119

---

(6)
DFT (GGA-PBE) results for Ho6MgP2Se3 after structural relaxation.

Cell lengths 9.0876, 9.0876, 8.2948 Å; angles 102.00, 102.00, 25.56 degrees
With the nearest neighbours (Å) after each atom.
Fractional coordinates of all 12 atoms:
1 Ho 0.0085 0.0085 0.2726  1 P 2.78, 3 Se 2.78-2.98, 2 Mg 3.01
2 Ho 0.3252 0.3252 0.8897  2 P 2.78, 3 Se 2.81-3.02, 1 Mg 3.04
3 Ho 0.3277 0.3277 0.4267  3 P 2.75-2.79, 3 Se 2.98-2.99
4 Ho 0.6723 0.6723 0.5733  3 P 2.75-2.79, 3 Se 2.98-2.99
5 Ho 0.6748 0.6748 0.1103  2 P 2.78, 3 Se 2.81-3.02, 1 Mg 3.04
6 Ho 0.9915 0.9915 0.7274  1 P 2.78, 3 Se 2.78-2.98, 2 Mg 3.01
7 Mg 0.5000 0.5000 0.0000  6 Ho 3.01-3.04
8 P 0.1689 0.1689 0.3391  6 Ho 2.75-2.79
9 P 0.8311 0.8311 0.6609  6 Ho 2.75-2.79
10 Se 0.1632 0.1632 0.8347  6 Ho 2.81-3.02
11 Se 0.5000 0.5000 0.5000  6 Ho 2.78-2.98
12 Se 0.8368 0.8368 0.1653  6 Ho 2.81-3.02

**Calculated volume**: 288.7 Å³/cell
**Uncorrected formation energy**: -1.363 eV/atom
**Symmetry**: C2/m, No. 12

---

Energy readings, ordered: -4.16; -4.77; -6.35; -6.48; -7.39; -5.56 eV per atom